[1]
The following is a GGA-PBE calculation of a geometry-optimized SmMg2CuSe4 structure, from the Alexandria database.

a = 3.9552 Å, b = 6.8260 Å, c = 13.5044 Å
α = 90.00°, β = 90.00°, γ = 106.84°
With the nearest neighbours (Å) after each atom.
Atoms (fractional coordinates):
Mg: 0.6248 0.2496 0.0614  6 Se 2.69-2.89
Se: 0.4569 0.9137 0.7500  2 Cu 2.43
Sm: 0.8763 0.7526 0.2500  6 Se 2.94-2.99
Mg: 0.6248 0.2496 0.4386  6 Se 2.69-2.89
Cu: 0.1508 0.3015 0.2500  4 Se 2.43-2.44
Se: 0.2757 0.5514 0.1152  1 Cu 2.44, 1 Mg 2.72
Mg: 0.3752 0.7504 0.9386  6 Se 2.69-2.89
Sm: 0.1237 0.2474 0.7500  6 Se 2.94-2.99
Se: 0.7243 0.4486 0.6152  1 Cu 2.44, 1 Mg 2.72
Se: 0.0000 0.0000 0.5000  4 Mg 2.69
Se: 0.5431 0.0863 0.2500  2 Cu 2.43
Cu: 0.8492 0.6985 0.7500  4 Se 2.43-2.44
Se: 0.0000 0.0000 0.0000  4 Mg 2.69
Se: 0.2757 0.5514 0.3848  1 Cu 2.44, 1 Mg 2.72
Se: 0.7243 0.4486 0.8848  1 Cu 2.44, 1 Mg 2.72
Mg: 0.3752 0.7504 0.5614  6 Se 2.69-2.89

Calculated values
* symmetry: No. 63
* energy relative to the elements, uncorrected: -1190 meV per atom


[2]
The following is a GGA-PBE calculation of a geometry-optimized SrMgCu2Se structure, from the Alexandria database.

a = 5.3025 Å, b = 5.6653 Å, c = 5.3025 Å
α = 90.00°, β = 90.00°, γ = 90.00°
With the nearest neighbours (Å) after each atom.
Atoms (fractional coordinates):
Se: 0.0000 0.5000 0.0000  2 Sr 2.83
Cu: 0.0000 0.0000 0.5000  2 Sr 2.65
Cu: 0.5000 0.0000 0.0000  2 Sr 2.65
Sr: 0.0000 0.0000 0.0000  4 Cu 2.65, 2 Se 2.83
Mg: 0.5000 0.5000 0.5000  4 Se 3.75, 8 Cu 3.88

Calculated values
* symmetry: No. 123
* energy relative to the elements, uncorrected: 688 meV per atom


[3]
The following is a GGA-PBE calculation of a geometry-optimized MgTlCuSe2 structure, from the Alexandria database.

a = 5.5410 Å, b = 7.3804 Å, c = 6.9109 Å
α = 105.58°, β = 90.00°, γ = 90.00°
With the nearest neighbours (Å) after each atom.
Atoms (fractional coordinates):
Mg: 0.5028 0.0000 0.7500  4 Se 2.64
Se: 0.7116 0.7723 0.9364  1 Cu 2.27
Cu: 0.0000 0.0000 0.5000  2 Se 2.27
Se: 0.7116 0.2277 0.5636  1 Cu 2.27
Mg: 0.4972 0.0000 0.2500  4 Se 2.64
Cu: 0.0000 0.0000 0.0000  2 Se 2.27
Tl: 0.1946 0.5000 0.7500  6 Se 3.37-3.54
Tl: 0.8054 0.5000 0.2500  6 Se 3.37-3.54
Se: 0.2884 0.2277 0.0636  1 Cu 2.27
Se: 0.2884 0.7723 0.4364  1 Cu 2.27

Calculated values
* symmetry: No. 13
* energy relative to the elements, uncorrected: -608 meV per atom


[4]
The following is a GGA-PBE calculation of a geometry-optimized MgV2CuSe structure, from the Alexandria database.

a = 4.9726 Å, b = 4.4093 Å, c = 4.9726 Å
α = 90.00°, β = 90.00°, γ = 90.00°
With the nearest neighbours (Å) after each atom.
Atoms (fractional coordinates):
Cu: 0.0000 0.5000 0.0000  2 Mg 2.20
V: 0.0000 0.0000 0.5000  2 Mg 2.49
V: 0.5000 0.0000 0.0000  2 Mg 2.49
Mg: 0.0000 0.0000 0.0000  2 Cu 2.20
Se: 0.5000 0.5000 0.5000  8 V 3.32, 4 Cu 3.52

Calculated values
* symmetry: No. 123
* energy relative to the elements, uncorrected: 1327 meV per atom


[5]
The following is a GGA-PBE calculation of a geometry-optimized MgVCu3Se4 structure, from the Alexandria database.

a = 5.7780 Å, b = 5.7780 Å, c = 5.7780 Å
α = 90.00°, β = 90.00°, γ = 90.00°
With the nearest neighbours (Å) after each atom.
Atoms (fractional coordinates):
Se: 0.2426 0.7574 0.7574  1 V 2.43, 3 Cu 2.48, 1 Mg 2.58
Se: 0.7574 0.2426 0.7574  1 V 2.43, 3 Cu 2.48, 1 Mg 2.58
Cu: 0.0000 0.0000 0.5000  4 Se 2.48
Se: 0.7574 0.7574 0.2426  1 V 2.43, 3 Cu 2.48, 1 Mg 2.58
Mg: 0.5000 0.5000 0.5000  4 Se 2.58
Cu: 0.0000 0.5000 0.0000  4 Se 2.48
V: 0.0000 0.0000 0.0000  4 Se 2.43
Se: 0.2426 0.2426 0.2426  1 V 2.43, 3 Cu 2.48, 1 Mg 2.58
Cu: 0.5000 0.0000 0.0000  4 Se 2.48

Calculated values
* symmetry: No. 215
* energy relative to the elements, uncorrected: -416 meV per atom


[6]
The following is a GGA-PBE calculation of a geometry-optimized Mg14CuSi structure, from the Alexandria database.

a = 6.2724 Å, b = 6.2724 Å, c = 9.8942 Å
α = 90.00°, β = 90.00°, γ = 118.85°
With the nearest neighbours (Å) after each atom.
Atoms (fractional coordinates):
Mg: 0.6459 0.8566 0.0000  1 Cu 2.83, 1 Si 2.89, 6 Mg 2.99-3.03
Cu: 0.6778 0.3222 0.0000  8 Mg 2.83-2.96
Mg: 0.1685 0.3300 0.5000  12 Mg 3.08-3.33
Mg: 0.3347 0.6653 0.7515  11 Mg 3.01-3.19, 1 Si 3.02
Mg: 0.8334 0.1666 0.7534  1 Cu 2.96, 11 Mg 2.99-3.22
Mg: 0.8334 0.1666 0.2466  1 Cu 2.96, 11 Mg 2.99-3.22
Mg: 0.6700 0.8315 0.5000  12 Mg 3.08-3.33
Mg: 0.3347 0.6653 0.2485  11 Mg 3.01-3.19, 1 Si 3.02
Mg: 0.1434 0.3541 0.0000  1 Cu 2.83, 1 Si 2.89, 6 Mg 2.99-3.03
Mg: 0.6640 0.3360 0.5000  12 Mg 3.09-3.29
Mg: 0.8359 0.6568 0.2197  1 Cu 2.85, 1 Si 2.85, 5 Mg 3.03-3.18
Si: 0.1720 0.8280 0.0000  8 Mg 2.85-3.02, 2 Cu 3.19
Mg: 0.3432 0.1641 0.2197  1 Cu 2.85, 1 Si 2.85, 5 Mg 3.03-3.18
Mg: 0.8359 0.6568 0.7803  1 Cu 2.85, 1 Si 2.85, 5 Mg 3.03-3.18
Mg: 0.3432 0.1641 0.7803  1 Cu 2.85, 1 Si 2.85, 5 Mg 3.03-3.18
Mg: 0.1639 0.8361 0.5000  12 Mg 3.08-3.31

Calculated values
* symmetry: No. 38
* energy relative to the elements, uncorrected: 33 meV per atom


[7]
The following is a GGA-PBE calculation of a geometry-optimized MgCu3Si3 structure, from the Alexandria database.

a = 6.4710 Å, b = 6.4710 Å, c = 6.4710 Å
α = 90.00°, β = 90.00°, γ = 90.00°
With the nearest neighbours (Å) after each atom.
Atoms (fractional coordinates):
Cu: 0.0000 0.2500 0.5000  4 Si 2.29
Cu: 0.0000 0.7500 0.5000  4 Si 2.29
Mg: 0.0000 0.0000 0.0000  12 Cu 3.62, 12 Si 3.62
Cu: 0.2500 0.5000 0.0000  4 Si 2.29
Si: 0.0000 0.5000 0.7500  4 Cu 2.29
Cu: 0.5000 0.0000 0.2500  4 Si 2.29
Si: 0.7500 0.0000 0.5000  4 Cu 2.29
Mg: 0.5000 0.5000 0.5000  12 Cu 3.62, 12 Si 3.62
Si: 0.2500 0.0000 0.5000  4 Cu 2.29
Cu: 0.5000 0.0000 0.7500  4 Si 2.29
Si: 0.5000 0.2500 0.0000  4 Cu 2.29
Si: 0.5000 0.7500 0.0000  4 Cu 2.29
Cu: 0.7500 0.5000 0.0000  4 Si 2.29
Si: 0.0000 0.5000 0.2500  4 Cu 2.29

Calculated values
* symmetry: No. 223
* energy relative to the elements, uncorrected: 487 meV per atom


[8]
The following is a GGA-PBE calculation of a geometry-optimized Mg2CuSi structure, from the Alexandria database.

a = 3.8892 Å, b = 2.9171 Å, c = 6.4915 Å
α = 62.97°, β = 90.00°, γ = 90.00°
With the nearest neighbours (Å) after each atom.
Atoms (fractional coordinates):
Mg: 0.0000 0.4964 0.5048  4 Cu 2.81-2.82, 4 Mg 2.84-2.95, 4 Si 2.84-2.85
Mg: 0.0000 0.0036 0.9952  4 Cu 2.81-2.82, 4 Mg 2.84-2.95, 4 Si 2.84-2.85
Si: 0.5000 0.2500 0.2500  8 Mg 2.84-2.85, 2 Cu 2.89, 2 Si 2.92
Cu: 0.5000 0.7500 0.7500  8 Mg 2.81-2.82, 2 Si 2.89, 2 Cu 2.92

Calculated values
* symmetry: No. 10
* energy relative to the elements, uncorrected: 8 meV per atom


[9]
The following is a GGA-PBE calculation of a geometry-optimized MgCuSi2 structure, from the Alexandria database.

a = 4.8777 Å, b = 4.8777 Å, c = 4.8777 Å
α = 133.54°, β = 133.54°, γ = 67.81°
With the nearest neighbours (Å) after each atom.
Atoms (fractional coordinates):
Cu: 0.5000 0.5000 0.0000  8 Si 2.72-2.79, 4 Mg 2.79
Si: 0.2500 0.7500 0.5000  4 Mg 2.72, 4 Si 2.79, 4 Cu 2.79
Mg: 0.7500 0.2500 0.5000  8 Si 2.72-2.79, 4 Cu 2.79
Si: 0.0000 0.0000 0.0000  4 Cu 2.72, 4 Mg 2.79, 4 Si 2.79

Calculated values
* symmetry: No. 119
* energy relative to the elements, uncorrected: 162 meV per atom


[10]
The following is a GGA-PBE calculation of a geometry-optimized MgCu3Si structure, from the Alexandria database.

a = 7.2600 Å, b = 5.2339 Å, c = 6.2502 Å
α = 114.75°, β = 125.51°, γ = 90.00°
With the nearest neighbours (Å) after each atom.
Atoms (fractional coordinates):
Cu: 0.2500 0.8684 0.5000  2 Si 2.27, 4 Cu 2.51
Cu: 0.7500 0.1316 0.5000  2 Si 2.27, 4 Cu 2.51
Si: 0.0000 0.5000 0.0000  6 Cu 2.27-2.32
Cu: 0.3181 0.8181 0.1363  2 Si 2.32, 2 Cu 2.51
Mg: 0.7500 0.6395 0.5000  2 Cu 2.58-2.66
Cu: 0.1819 0.1819 0.8637  2 Si 2.32, 2 Cu 2.51
Cu: 0.8181 0.8181 0.1363  2 Si 2.32, 2 Cu 2.51
Cu: 0.6819 0.1819 0.8637  2 Si 2.32, 2 Cu 2.51
Si: 0.5000 0.0000 0.0000  6 Cu 2.27-2.32
Mg: 0.2500 0.3605 0.5000  2 Cu 2.58-2.66

Calculated values
* symmetry: No. 74
* energy relative to the elements, uncorrected: 77 meV per atom
* polymorph energy (0 for the lowest one): 0.0 meV per atom


[11]
The following is a GGA-PBE calculation of a geometry-optimized MgCu5Si2 structure, from the Alexandria database.

a = 3.7209 Å, b = 5.9364 Å, c = 5.9364 Å
α = 70.42°, β = 71.74°, γ = 71.74°
With the nearest neighbours (Å) after each atom.
Atoms (fractional coordinates):
Cu: 0.0000 0.5000 0.5000  2 Si 2.34, 8 Cu 2.61
Cu: 0.3523 0.8323 0.4630  3 Si 2.31-2.47, 1 Cu 2.53
Mg: 0.0000 0.0000 0.0000  4 Si 2.84, 8 Cu 3.14
Si: 0.7393 0.7607 0.7607  7 Cu 2.31-2.47
Cu: 0.6477 0.5370 0.1677  3 Si 2.31-2.47, 1 Cu 2.53
Cu: 0.3523 0.4630 0.8323  3 Si 2.31-2.47, 1 Cu 2.53
Si: 0.2607 0.2393 0.2393  7 Cu 2.31-2.47
Cu: 0.6477 0.1677 0.5370  3 Si 2.31-2.47, 1 Cu 2.53

Calculated values
* symmetry: No. 71
* energy relative to the elements, uncorrected: -36 meV per atom


[12]
The following is a GGA-PBE calculation of a geometry-optimized MgCu4Si structure, from the Alexandria database.

a = 3.9167 Å, b = 5.3319 Å, c = 8.1527 Å
α = 90.00°, β = 103.90°, γ = 90.00°
With the nearest neighbours (Å) after each atom.
Atoms (fractional coordinates):
Cu: 0.6626 0.5221 0.3253  3 Si 2.35-2.48, 2 Cu 2.43-2.58
Si: 0.7791 0.2500 0.5581  7 Cu 2.35-2.48
Cu: 0.5000 0.0000 0.0000  8 Cu 2.58-2.67, 4 Mg 2.83
Cu: 0.9283 0.2500 0.8566  1 Si 2.36, 4 Cu 2.63
Cu: 0.3374 0.4779 0.6747  3 Si 2.35-2.48, 2 Cu 2.43-2.58
Cu: 0.5000 0.5000 0.0000  8 Cu 2.58-2.67, 4 Mg 2.83
Mg: 0.0973 0.2500 0.1947  11 Cu 2.65-2.83
Cu: 0.6626 0.9779 0.3253  3 Si 2.35-2.48, 2 Cu 2.43-2.58
Si: 0.2209 0.7500 0.4419  7 Cu 2.35-2.48
Cu: 0.3374 0.0221 0.6747  3 Si 2.35-2.48, 2 Cu 2.43-2.58
Mg: 0.9027 0.7500 0.8053  11 Cu 2.65-2.83
Cu: 0.0717 0.7500 0.1434  1 Si 2.36, 4 Cu 2.63

Calculated values
* symmetry: No. 63
* energy relative to the elements, uncorrected: -40 meV per atom